Record 1
## PmDyErIn (GGA-PBE)

Data for crystalline PmDyErIn at its relaxed geometry.

The structure in CIF format:
```
data_PmDyErIn
_chemical_formula_sum 'Pm4 Dy4 Er4 In4'
_cell_length_a 7.748
_cell_length_b 7.748
_cell_length_c 7.748
_cell_angle_alpha 90.00
_cell_angle_beta 90.00
_cell_angle_gamma 90.00
_space_group_name_H-M_alt 'F -4 3 m'
_space_group_IT_number 216
_space_group_name_Hall 'F -4 2 3'
loop_
_atom_site_label
_atom_site_type_symbol
_atom_site_fract_x
_atom_site_fract_y
_atom_site_fract_z
_atom_site_occupancy
Pm1 Pm 0.000 0.000 0.000 1
Dy1 Dy 0.000 0.000 0.500 1
Er1 Er 0.250 0.250 0.750 1
In1 In 0.250 0.250 0.250 1
```

## Properties
E above lowest polymorph ... 0.000 eV per atom
Density ... 8.42 g/cm³
DFT total energy ... -17.22 eV per formula unit
DOS(E_F) ... 1.61 states/eV/atom


Record 2
## TlPb2F5 (GGA-PBE)

Data for crystalline TlPb2F5 at its relaxed geometry.

The structure in CIF format:
```
data_TlPb2F5
_chemical_formula_sum 'Tl2 Pb4 F10'
_cell_length_a 3.787
_cell_length_b 6.383
_cell_length_c 12.994
_cell_angle_alpha 90.00
_cell_angle_beta 90.00
_cell_angle_gamma 90.00
_space_group_name_H-M_alt 'I m m m'
_space_group_IT_number 71
_space_group_name_Hall '-I 2 2'
loop_
_atom_site_label
_atom_site_type_symbol
_atom_site_fract_x
_atom_site_fract_y
_atom_site_fract_z
_atom_site_occupancy
Tl1 Tl 0.000 0.000 0.000 1
Pb1 Pb 0.000 0.500 0.179 1
F1 F 0.000 0.258 0.347 1
F2 F 0.000 0.500 0.000 1
```

## Properties
Density ... 7.55 g/cm³
Raw formation energy ... -50.225 kcal/mol of atoms
DFT total energy ... -36.56 eV per formula unit
DOS(E_F) ... 0.00 states/eV/atom


Record 3
## KAgPbCl6 (GGA-PBE)

Data for crystalline KAgPbCl6 at its relaxed geometry.

The structure in CIF format:
```
data_KAgPbCl6
_chemical_formula_sum 'K2 Ag2 Pb2 Cl12'
_cell_length_a 6.645
_cell_length_b 6.645
_cell_length_c 12.424
_cell_angle_alpha 90.00
_cell_angle_beta 90.00
_cell_angle_gamma 90.00
_space_group_name_H-M_alt 'P 42 n m'
_space_group_IT_number 102
loop_
_space_group_symop_operation_xyz
'x,y,z'
'-y+1/2,x+1/2,z+1/2'
'-x,-y,z'
'y+1/2,-x+1/2,z+1/2'
'-x+1/2,y+1/2,z+1/2'
'y,x,z'
'x+1/2,-y+1/2,z+1/2'
'-y,-x,z'
loop_
_atom_site_label
_atom_site_type_symbol
_atom_site_fract_x
_atom_site_fract_y
_atom_site_fract_z
_atom_site_occupancy
K1 K 0.000 0.000 0.000 1
Ag1 Ag 0.000 0.000 0.672 1
Pb1 Pb 0.000 0.000 0.335 1
Cl1 Cl 0.177 0.177 0.499 1
Cl2 Cl 0.210 0.210 0.196 1
Cl3 Cl 0.221 0.221 0.815 1
```

## Properties
Density ... 3.43 g/cm³
Raw formation energy ... -20.549 kcal/mol of atoms
DFT total energy ... -26.76 eV per formula unit
DOS(E_F) ... 0.34 states/eV/atom


Record 4
## La6HRh2Br3 (GGA-PBE)

Data for crystalline La6HRh2Br3 at its relaxed geometry.

The structure in CIF format:
```
data_La6HRh2Br3
_chemical_formula_sum 'La12 H2 Rh4 Br6'
_cell_length_a 7.134
_cell_length_b 12.307
_cell_length_c 8.240
_cell_angle_alpha 90.00
_cell_angle_beta 106.93
_cell_angle_gamma 90.00
_space_group_name_H-M_alt 'C 1 2/m 1'
_space_group_IT_number 12
loop_
_space_group_symop_operation_xyz
'x,y,z'
'-x,-y,-z'
'-x,y,-z'
'x,-y,z'
'x+1/2,y+1/2,z'
'-x+1/2,-y+1/2,-z'
'-x+1/2,y+1/2,-z'
'x+1/2,-y+1/2,z'
loop_
_atom_site_label
_atom_site_type_symbol
_atom_site_fract_x
_atom_site_fract_y
_atom_site_fract_z
_atom_site_occupancy
La1 La 0.232 0.166 0.198 1
La2 La 0.233 0.500 0.201 1
H1 H 0.000 0.000 0.000 1
Rh1 Rh 0.000 0.334 0.000 1
Br1 Br 0.000 0.170 0.500 1
Br2 Br 0.000 0.500 0.500 1
```

## Properties
Density ... 6.14 g/cm³
DFT total energy ... -64.91 eV per formula unit
DOS(E_F) ... 0.83 states/eV/atom


Record 5
## Cu2CBr (GGA-PBE)

Data for crystalline Cu2CBr at its relaxed geometry.

The structure in CIF format:
```
data_Cu2CBr
_chemical_formula_sum 'Cu8 C4 Br4'
_cell_length_a 5.373
_cell_length_b 5.373
_cell_length_c 8.946
_cell_angle_alpha 90.00
_cell_angle_beta 90.00
_cell_angle_gamma 90.00
_space_group_name_H-M_alt 'I -4 2 d'
_space_group_IT_number 122
_space_group_name_Hall 'I -4 2bw'
loop_
_atom_site_label
_atom_site_type_symbol
_atom_site_fract_x
_atom_site_fract_y
_atom_site_fract_z
_atom_site_occupancy
Cu1 Cu 0.145 0.250 0.125 1
C1 C 0.000 0.000 0.000 1
Br1 Br 0.000 0.000 0.500 1
```

## Properties
E above lowest polymorph ... 0.000 eV per atom
Density ... 5.63 g/cm³
Raw formation energy ... 16.861 kcal/mol of atoms
DFT total energy ... -16.16 eV per formula unit
DOS(E_F) ... 0.41 states/eV/atom


Record 6
## Sr3BiS (GGA-PBE)

Data for crystalline Sr3BiS at its relaxed geometry.

The structure in CIF format:
```
data_Sr3BiS
_chemical_formula_sum 'Sr3 Bi1 S1'
_cell_length_a 5.706
_cell_length_b 5.706
_cell_length_c 5.706
_cell_angle_alpha 90.00
_cell_angle_beta 90.00
_cell_angle_gamma 90.00
_space_group_name_H-M_alt 'P m -3 m'
_space_group_IT_number 221
_space_group_name_Hall '-P 4 2 3'
loop_
_atom_site_label
_atom_site_type_symbol
_atom_site_fract_x
_atom_site_fract_y
_atom_site_fract_z
_atom_site_occupancy
Sr1 Sr 0.000 0.000 0.500 1
Bi1 Bi 0.500 0.500 0.500 1
S1 S 0.000 0.000 0.000 1
```

## Properties
E above lowest polymorph ... 0.000 eV per atom
Density ... 4.51 g/cm³
Raw formation energy ... -25.543 kcal/mol of atoms
DFT total energy ... -18.59 eV per formula unit
DOS(E_F) ... 0.82 states/eV/atom


Record 7
## CaTi2TcF (GGA-PBE)

Data for crystalline CaTi2TcF at its relaxed geometry.

The structure in CIF format:
```
data_CaTi2TcF
_chemical_formula_sum 'Ca1 Ti2 Tc1 F1'
_cell_length_a 4.257
_cell_length_b 4.257
_cell_length_c 4.497
_cell_angle_alpha 90.00
_cell_angle_beta 90.00
_cell_angle_gamma 90.00
_space_group_name_H-M_alt 'P 4/m m m'
_space_group_IT_number 123
_space_group_name_Hall '-P 4 2'
loop_
_atom_site_label
_atom_site_type_symbol
_atom_site_fract_x
_atom_site_fract_y
_atom_site_fract_z
_atom_site_occupancy
Ca1 Ca 0.000 0.000 0.000 1
Ti1 Ti 0.000 0.500 0.500 1
Tc1 Tc 0.500 0.500 0.000 1
F1 F 0.000 0.000 0.500 1
```

## Properties
Density ... 5.15 g/cm³
Raw formation energy ... -7.950 kcal/mol of atoms
DFT total energy ... -31.75 eV per formula unit
DOS(E_F) ... 1.26 states/eV/atom


Record 8
## Ba2Tl2BiO6 (GGA-PBE)

Data for crystalline Ba2Tl2BiO6 at its relaxed geometry.

The structure in CIF format:
```
data_Ba2Tl2BiO6
_chemical_formula_sum 'Ba4 Tl4 Bi2 O12'
_cell_length_a 10.955
_cell_length_b 6.523
_cell_length_c 7.172
_cell_angle_alpha 90.00
_cell_angle_beta 121.10
_cell_angle_gamma 90.00
_space_group_name_H-M_alt 'C 1 2/m 1'
_space_group_IT_number 12
loop_
_space_group_symop_operation_xyz
'x,y,z'
'-x,-y,-z'
'-x,y,-z'
'x,-y,z'
'x+1/2,y+1/2,z'
'-x+1/2,-y+1/2,-z'
'-x+1/2,y+1/2,-z'
'x+1/2,-y+1/2,z'
loop_
_atom_site_label
_atom_site_type_symbol
_atom_site_fract_x
_atom_site_fract_y
_atom_site_fract_z
_atom_site_occupancy
Ba1 Ba 0.216 0.000 0.151 1
Tl1 Tl 0.065 0.500 0.230 1
Bi1 Bi 0.000 0.000 0.500 1
O1 O 0.074 0.238 0.773 1
O2 O 0.215 0.000 0.517 1
```

## Properties
Density ... 7.48 g/cm³
Raw formation energy ... -32.640 kcal/mol of atoms
DFT total energy ... -57.78 eV per formula unit
DOS(E_F) ... 0.42 states/eV/atom


Record 9
## CuHgAs2Se (GGA-PBE)

Data for crystalline CuHgAs2Se at its relaxed geometry.

The structure in CIF format:
```
data_CuHgAs2Se
_chemical_formula_sum 'Cu1 Hg1 As2 Se1'
_cell_length_a 4.760
_cell_length_b 4.760
_cell_length_c 4.934
_cell_angle_alpha 90.00
_cell_angle_beta 90.00
_cell_angle_gamma 90.00
_space_group_name_H-M_alt 'P 4/m m m'
_space_group_IT_number 123
_space_group_name_Hall '-P 4 2'
loop_
_atom_site_label
_atom_site_type_symbol
_atom_site_fract_x
_atom_site_fract_y
_atom_site_fract_z
_atom_site_occupancy
Cu1 Cu 0.000 0.000 0.000 1
Hg1 Hg 0.500 0.500 0.500 1
As1 As 0.000 0.500 0.000 1
Se1 Se 0.000 0.000 0.500 1
```

## Properties
E above lowest polymorph ... 0.000 eV per atom
Density ... 7.32 g/cm³
Raw formation energy ... 12.973 kcal/mol of atoms
DFT total energy ... -14.37 eV per formula unit
DOS(E_F) ... 0.92 states/eV/atom


Record 10
## NaCe5Hg6 (GGA-PBE)

Data for crystalline NaCe5Hg6 at its relaxed geometry.

The structure in CIF format:
```
data_NaCe5Hg6
_chemical_formula_sum 'Na2 Ce10 Hg12'
_cell_length_a 17.078
_cell_length_b 7.550
_cell_length_c 5.384
_cell_angle_alpha 90.00
_cell_angle_beta 108.24
_cell_angle_gamma 90.00
_space_group_name_H-M_alt 'C 1 2/m 1'
_space_group_IT_number 12
loop_
_space_group_symop_operation_xyz
'x,y,z'
'-x,-y,-z'
'-x,y,-z'
'x,-y,z'
'x+1/2,y+1/2,z'
'-x+1/2,-y+1/2,-z'
'-x+1/2,y+1/2,-z'
'x+1/2,-y+1/2,z'
loop_
_atom_site_label
_atom_site_type_symbol
_atom_site_fract_x
_atom_site_fract_y
_atom_site_fract_z
_atom_site_occupancy
Na1 Na 0.000 0.000 0.000 1
Ce1 Ce 0.000 0.500 0.000 1
Ce2 Ce 0.167 0.500 0.666 1
Ce3 Ce 0.168 0.000 0.667 1
Hg1 Hg 0.000 0.243 0.500 1
Hg2 Hg 0.163 0.245 0.162 1
```

## Properties
Density ... 9.71 g/cm³
DFT total energy ... -36.07 eV per formula unit
DOS(E_F) ... 3.41 states/eV/atom


Record 11
## Mg2Pa3Pt8 (GGA-PBE)

Data for crystalline Mg2Pa3Pt8 at its relaxed geometry.

The structure in CIF format:
```
data_Mg2Pa3Pt8
_chemical_formula_sum 'Mg6 Pa9 Pt24'
_cell_length_a 5.5204
_cell_length_b 5.5204
_cell_length_c 30.6877
_cell_angle_alpha 90.00
_cell_angle_beta 90.00
_cell_angle_gamma 120.00
_space_group_name_H-M_alt 'R -3 m'
_space_group_IT_number 166
_space_group_name_Hall '-R 3 2"'
loop_
_atom_site_label
_atom_site_type_symbol
_atom_site_fract_x
_atom_site_fract_y
_atom_site_fract_z
_atom_site_occupancy
Mg1 Mg 0.0000 0.0000 0.1078 1
Pa1 Pa 0.0000 0.0000 0.2771 1
Pa2 Pa 0.0000 0.0000 0.5000 1
Pt1 Pt 0.0000 0.0000 0.1894 1
Pt2 Pt 0.0050 0.5025 0.2949 1
```

## Properties
Density ... 14.16 g/cm³
DFT total energy ... -88.93 eV per formula unit
DOS(E_F) ... 0.83 states/eV/atom


Record 12
## Rb2YIBr6 (GGA-PBE)

Data for crystalline Rb2YIBr6 at its relaxed geometry.

The structure in CIF format:
```
data_Rb2YIBr6
_chemical_formula_sum 'Rb4 Y2 I2 Br12'
_cell_length_a 8.348
_cell_length_b 8.348
_cell_length_c 13.017
_cell_angle_alpha 90.00
_cell_angle_beta 90.00
_cell_angle_gamma 90.00
_space_group_name_H-M_alt 'I 4/m m m'
_space_group_IT_number 139
_space_group_name_Hall '-I 4 2'
loop_
_atom_site_label
_atom_site_type_symbol
_atom_site_fract_x
_atom_site_fract_y
_atom_site_fract_z
_atom_site_occupancy
Rb1 Rb 0.000 0.500 0.250 1
Y1 Y 0.000 0.000 0.000 1
I1 I 0.000 0.000 0.500 1
Br1 Br 0.000 0.000 0.213 1
Br2 Br 0.237 0.237 0.000 1
```

## Properties
Density ... 3.17 g/cm³
Raw formation energy ... -29.575 kcal/mol of atoms
DFT total energy ... -32.81 eV per formula unit
DOS(E_F) ... 0.01 states/eV/atom